Record 1
# Pa2AsCl

Crystalline Pa2AsCl at its relaxed geometry (PBE, the Alexandria database).

Crystal system: trigonal
DFT total energy in eV/atom: -6.59

The structure in POSCAR format:
```
Pa2AsCl
1.0
-4.054 -2.418 -1.891
0.182 -1.996 -4.673
0.584 -6.276 -0.062
Cl As Pa
1 1 2
Cartesian
0.000 0.000 0.000
-1.644 -5.346 -3.313
-2.956 -6.763 -5.525
-0.332 -3.928 -1.101
```

---

Record 2
# NbCr2Si

Crystalline NbCr2Si at its relaxed geometry (PBE, the Alexandria database).

Crystal system: tetragonal
DFT total energy in eV/atom: -8.14

The structure in POSCAR format:
```
NbCr2Si
1.0
6.810 0.000 0.000
0.000 6.810 0.000
3.405 3.405 2.559
Cr Si Nb
4 2 2
Cartesian
8.513 8.278 1.919
1.937 5.108 0.640
5.108 5.342 1.919
4.873 1.703 0.640
3.405 3.405 0.000
3.405 6.810 1.279
0.000 0.000 0.000
6.810 3.405 1.279
```

---

What is the DFT total energy in the first record?
-6.59 eV/atom

---

Copy entry 1 word for word.
# Pa2AsCl

Crystalline Pa2AsCl at its relaxed geometry (PBE, the Alexandria database).

Crystal system: trigonal
DFT total energy in eV/atom: -6.59

The structure in POSCAR format:
```
Pa2AsCl
1.0
-4.054 -2.418 -1.891
0.182 -1.996 -4.673
0.584 -6.276 -0.062
Cl As Pa
1 1 2
Cartesian
0.000 0.000 0.000
-1.644 -5.346 -3.313
-2.956 -6.763 -5.525
-0.332 -3.928 -1.101
```

---

Which of these has the lowest DFT total energy?
NbCr2Si

---

Which of these has the highest DFT total energy?
Pa2AsCl